A geometry-optimized Li3CuMo structure, computed with GGA-PBE.

Summary:
Theoretical density in g/cm³: 2.4
Space group: Pm-3m (221)
ΔE_f in eV/atom: 1.453
ΔE to the lowest computed polymorph in meV per atom: 515
Uncorrected energy in eV/atom: -2.680
Total magnetic moment in μB per atom: 0.823

abc: 4.9647 4.9647 4.9647
angles: 90.00 90.00 90.00
Sites, in units of the cell vectors:
Li 0.0000 0.0000 0.5000
Li 0.0000 0.5000 0.0000
Li 0.5000 0.0000 0.0000
Cu 0.5000 0.5000 0.5000
Mo 0.0000 0.0000 0.0000